Arrangement one

BaScIO2: optimized geometry, GGA-PBE.

Results
The value obtained for the density of states at the Fermi level is 3.9 states/eV/f.u. The total magnetic moment is 0.528 μB/f.u. Its space group is P4/mmm, No. 123.

a = 4.716 Å, b = 4.716 Å, c = 6.566 Å
α = 90.00°, β = 90.00°, γ = 90.00°
Each line ends with the local moment (μB).
Fractional coordinates of all 5 atoms:
I 0.000 0.000 0.500  0.01
Sc 0.500 0.500 0.500  -0.95
Ba 0.000 0.000 0.000  0.07
O 0.000 0.500 0.000  0.29
O 0.500 0.000 0.000  0.29

Arrangement two

BaScIO2: optimized geometry, GGA-PBE.

Results
The value obtained for the density of states at the Fermi level is 0.6 states/eV/f.u. The total magnetic moment is 0.000 μB/f.u. Its space group is P4/mmm, No. 123.

a = 4.469 Å, b = 4.469 Å, c = 5.530 Å
α = 90.00°, β = 90.00°, γ = 90.00°
Fractional coordinates of all 5 atoms:
I 0.000 0.000 0.500
Sc 0.000 0.000 0.000
Ba 0.500 0.500 0.500
O 0.000 0.500 0.000
O 0.500 0.000 0.000

Which of them is the least stable? Correct choice: arrangement one.

Arrangement one

BaSeIO2: optimized geometry, GGA-PBE.

Results
The value obtained for the density of states at the Fermi level is 1.3 states/eV/f.u. The total magnetic moment is 0.000 μB/f.u. Its space group is P4/mmm, No. 123.

a = 4.551 Å, b = 4.551 Å, c = 5.492 Å
α = 90.00°, β = 90.00°, γ = 90.00°
Fractional coordinates of all 5 atoms:
I 0.000 0.000 0.500
O 0.000 0.500 0.000
O 0.500 0.000 0.000
Ba 0.500 0.500 0.500
Se 0.000 0.000 0.000

Arrangement two

BaSeIO2: optimized geometry, GGA-PBE.

Results
The value obtained for the density of states at the Fermi level is 5.8 states/eV/f.u. The total magnetic moment is 0.000 μB/f.u. Its space group is P4/mmm, No. 123.

a = 4.464 Å, b = 4.464 Å, c = 8.345 Å
α = 90.00°, β = 90.00°, γ = 90.00°
Fractional coordinates of all 5 atoms:
I 0.000 0.000 0.500
O 0.000 0.500 0.000
O 0.500 0.000 0.000
Ba 0.000 0.000 0.000
Se 0.500 0.500 0.500

Which of them is the least stable? Correct choice: arrangement two.